Below is a relaxed structure of As2PPb, with properties calculated at the GGA-PBE level.

Cell lengths 4.030, 4.030, 10.862 Å; angles 90.00, 90.00, 90.00 degrees
Space group I4/mmm (No. 139)
One atom of each set of equivalent atoms:
As1 0.000 0.500 0.250 (multiplicity 4)
P1 0.000 0.000 0.000 (multiplicity 2)
Pb1 0.000 0.000 0.500 (multiplicity 2)

Results
Its calculated volume is 176.4 Å³/cell. The calculation puts the excess energy over the best structure of this formula in the dataset at 379 meV per atom. The calculation puts the formation energy at 0.491 eV/atom. The energy is -4.11 eV/atom.

***

Below is a relaxed structure of As2PPb, with properties calculated at the GGA-PBE level.

Cell lengths 3.286, 3.286, 8.595 Å; angles 90.00, 90.00, 90.00 degrees
Space group P4mm (No. 99)
One atom of each set of equivalent atoms:
As1 0.000 0.000 0.000 (multiplicity 1)
As2 0.500 0.500 0.323 (multiplicity 1)
P1 0.000 0.000 0.444 (multiplicity 1)
Pb1 0.500 0.500 0.760 (multiplicity 1)

Results
Its calculated volume is 92.8 Å³/cell. The calculation puts the excess energy over the best structure of this formula in the dataset at 229 meV per atom. The calculation puts the formation energy at 0.341 eV/atom. The energy is -4.26 eV/atom.

***

Below is a relaxed structure of As2PPb, with properties calculated at the GGA-PBE level.

Cell lengths 4.045, 4.045, 5.398 Å; angles 90.00, 90.00, 90.00 degrees
Space group P4/mmm (No. 123)
One atom of each set of equivalent atoms:
As1 0.000 0.500 0.000 (multiplicity 2)
P1 0.000 0.000 0.500 (multiplicity 1)
Pb1 0.500 0.500 0.500 (multiplicity 1)

Results
Its calculated volume is 88.3 Å³/cell. The calculation puts the excess energy over the best structure of this formula in the dataset at 387 meV per atom. The calculation puts the formation energy at 0.499 eV/atom. The energy is -4.10 eV/atom.

***

Below is a relaxed structure of As2PPb, with properties calculated at the GGA-PBE level.

Cell lengths 4.825, 3.903, 5.196 Å; angles 90.00, 107.92, 90.00 degrees
Space group P2/m (No. 10)
One atom of each set of equivalent atoms:
As1 0.243 0.000 0.176 (multiplicity 2)
P1 0.500 0.500 0.000 (multiplicity 1)
Pb1 0.000 0.500 0.500 (multiplicity 1)

Results
Its calculated volume is 93.1 Å³/cell. The calculation puts the excess energy over the best structure of this formula in the dataset at 36 meV per atom. The calculation puts the formation energy at 0.148 eV/atom. The energy is -4.46 eV/atom.

***

Below is a relaxed structure of As3PPb, with properties calculated at the GGA-PBE level.

Cell lengths 5.337, 5.337, 5.337 Å; angles 90.00, 90.00, 90.00 degrees
Space group Pm-3m (No. 221)
One atom of each set of equivalent atoms:
As1 0.000 0.000 0.500 (multiplicity 3)
P1 0.500 0.500 0.500 (multiplicity 1)
Pb1 0.000 0.000 0.000 (multiplicity 1)

Results
Its calculated volume is 152.0 Å³/cell. The calculation puts the excess energy over the best structure of this formula in the dataset at 1095 meV per atom. The calculation puts the formation energy at 1.567 eV/atom. The energy is -3.05 eV/atom.

***

Below is a relaxed structure of As2PPb, with properties calculated at the GGA-PBE level.

Cell lengths 3.883, 5.431, 8.338 Å; angles 90.00, 90.00, 90.00 degrees
Space group Cmmm (No. 65)
One atom of each set of equivalent atoms:
As1 0.000 0.000 0.194 (multiplicity 4)
P1 0.000 0.500 0.000 (multiplicity 2)
Pb1 0.000 0.500 0.500 (multiplicity 2)

Results
Its calculated volume is 175.8 Å³/cell. The calculation puts the excess energy over the best structure of this formula in the dataset at 326 meV per atom. The calculation puts the formation energy at 0.438 eV/atom. The energy is -4.17 eV/atom.

***

Among the records above, which one has the lowest excess energy over the best structure of this formula in the dataset?
number 4

***

The lowest energy belongs to which entry?
number 4

***

Which formula does entry 5 have?
As3PPb